## Li6Ca3MnC6O18F2 (PBE with a Hubbard U)

Data for a relaxed structure of Li6Ca3MnC6O18F2.

Output
Symmetry   No. 1
Energy   -6.90 eV/atom
M_tot   5.00 μB/f.u.
Mass density   2.521 Mg/m³
Crystal system   triclinic

Cell: 6.7462 7.7892 8.8277 Å, 63.95 84.99 76.36°
Sites, in units of the cell vectors:
Li (0.0000, 0.0000, 0.0000)
Li (0.0287, 0.8052, 0.4232)
Li (0.1179, 0.3897, 0.8581)
Li (0.4636, 0.0388, 0.9961)
Li (0.5008, 0.7956, 0.4150)
Li (0.6321, 0.0400, 0.5557)
Ca (0.1434, 0.1056, 0.5821)
Ca (0.3479, 0.5353, 0.2497)
Ca (0.8423, 0.5799, 0.1627)
Mn (0.6377, 0.4580, 0.8484)
C (0.1763, 0.1662, 0.2128)
C (0.3693, 0.4041, 0.6087)
C (0.3815, 0.8059, 0.8388)
C (0.6716, 0.1674, 0.2097)
C (0.8530, 0.4293, 0.5883)
C (0.8785, 0.7875, 0.8084)
O (0.1658, 0.3345, 0.2154)
O (0.1696, 0.1552, 0.0719)
O (0.1939, 0.0102, 0.3559)
O (0.2647, 0.9419, 0.8726)
O (0.2865, 0.5840, 0.5119)
O (0.4032, 0.3454, 0.7685)
O (0.4160, 0.2795, 0.5413)
O (0.4283, 0.6267, 0.9545)
O (0.4498, 0.8474, 0.6872)
O (0.6678, 0.0086, 0.3440)
O (0.6704, 0.3288, 0.2211)
O (0.6763, 0.1693, 0.0599)
O (0.7100, 0.5744, 0.5830)
O (0.8165, 0.8776, 0.9024)
O (0.8975, 0.5960, 0.8771)
O (0.9075, 0.4015, 0.4559)
O (0.9214, 0.8818, 0.6509)
O (0.9450, 0.3042, 0.7331)
F (0.0407, 0.7534, 0.2107)
F (0.5373, 0.7574, 0.2036)